1.
# Tc2TePb | the Alexandria database | GGA-PBE | relaxed
# DOS at the Fermi energy   0.96 states/eV/atom
# ΔE_f (raw)   772 meV per atom
# Final energy   -6.124 eV per atom
data_Tc2TePb
_chemical_formula_sum 'Tc2 Te1 Pb1'
_symmetry_space_group_name_H-M 'P 1 2/m 1'
_symmetry_Int_Tables_number 10
_cell_length_a 3.1961
_cell_length_b 4.1848
_cell_length_c 6.0681
_cell_angle_alpha 90.00
_cell_angle_beta 97.19
_cell_angle_gamma 90.00
loop_
_symmetry_equiv_pos_as_xyz
'x,y,z'
'-x,-y,-z'
'-x,y,-z'
'x,-y,z'
loop_
_atom_site_label
_atom_site_type_symbol
_atom_site_fract_x
_atom_site_fract_y
_atom_site_fract_z
Tc1 Tc 0.2077 0.0000 0.2929
Te1 Te 0.0000 0.5000 0.5000
Pb1 Pb 0.5000 0.5000 0.0000



2.
# TcTe3Pb | the Alexandria database | GGA-PBE | relaxed
# DOS at the Fermi energy   1.33 states/eV/atom
# ΔE_f (raw)   341 meV per atom
# Final energy   -4.359 eV per atom
data_TcTe3Pb
_chemical_formula_sum 'Tc1 Te3 Pb1'
_symmetry_space_group_name_H-M 'P m -3 m'
_symmetry_Int_Tables_number 221
_symmetry_space_group_name_Hall '-P 4 2 3'
_cell_length_a 5.3002
_cell_length_b 5.3002
_cell_length_c 5.3002
_cell_angle_alpha 90.00
_cell_angle_beta 90.00
_cell_angle_gamma 90.00
loop_
_atom_site_label
_atom_site_type_symbol
_atom_site_fract_x
_atom_site_fract_y
_atom_site_fract_z
Tc1 Tc 0.0000 0.0000 0.0000
Te1 Te 0.0000 0.0000 0.5000
Pb1 Pb 0.5000 0.5000 0.5000



3.
# TcTe2Pb | the Alexandria database | GGA-PBE | relaxed
# DOS at the Fermi energy   0.98 states/eV/atom
# ΔE_f (raw)   184 meV per atom
# Final energy   -4.906 eV per atom
data_TcTe2Pb
_chemical_formula_sum 'Tc2 Te4 Pb2'
_symmetry_space_group_name_H-M 'C 1 2/m 1'
_symmetry_Int_Tables_number 12
_cell_length_a 7.3752
_cell_length_b 4.2670
_cell_length_c 7.2216
_cell_angle_alpha 90.00
_cell_angle_beta 109.97
_cell_angle_gamma 90.00
loop_
_symmetry_equiv_pos_as_xyz
'x,y,z'
'-x,-y,-z'
'-x,y,-z'
'x,-y,z'
'x+1/2,y+1/2,z'
'-x+1/2,-y+1/2,-z'
'-x+1/2,y+1/2,-z'
'x+1/2,-y+1/2,z'
loop_
_atom_site_label
_atom_site_type_symbol
_atom_site_fract_x
_atom_site_fract_y
_atom_site_fract_z
Tc1 Tc 0.0000 0.0000 0.0000
Te1 Te 0.2272 0.5000 0.1818
Pb1 Pb 0.0000 0.5000 0.5000



4.
# TcTe2Pb | the Alexandria database | GGA-PBE | relaxed
# DOS at the Fermi energy   0.47 states/eV/atom
# ΔE_f (raw)   183 meV per atom
# Final energy   -4.907 eV per atom
data_TcTe2Pb
_chemical_formula_sum 'Tc3 Te6 Pb3'
_symmetry_space_group_name_H-M 'R 3 m'
_symmetry_Int_Tables_number 160
_symmetry_space_group_name_Hall 'R 3 -2"'
_cell_length_a 3.5067
_cell_length_b 3.5067
_cell_length_c 29.4637
_cell_angle_alpha 90.00
_cell_angle_beta 90.00
_cell_angle_gamma 120.00
loop_
_atom_site_label
_atom_site_type_symbol
_atom_site_fract_x
_atom_site_fract_y
_atom_site_fract_z
Tc1 Tc 0.0000 0.0000 0.0000
Te1 Te 0.0000 0.0000 0.2763
Te2 Te 0.0000 0.0000 0.4921
Pb1 Pb 0.0000 0.0000 0.7392



5.
# TcTe2Pb | the Alexandria database | GGA-PBE | relaxed
# DOS at the Fermi energy   0.94 states/eV/atom
# ΔE_f (raw)   603 meV per atom
# Final energy   -4.486 eV per atom
data_TcTe2Pb
_chemical_formula_sum 'Tc2 Te4 Pb2'
_symmetry_space_group_name_H-M 'C 1 2/m 1'
_symmetry_Int_Tables_number 12
_cell_length_a 6.1068
_cell_length_b 8.5858
_cell_length_c 5.2424
_cell_angle_alpha 90.00
_cell_angle_beta 124.91
_cell_angle_gamma 90.00
loop_
_symmetry_equiv_pos_as_xyz
'x,y,z'
'-x,-y,-z'
'-x,y,-z'
'x,-y,z'
'x+1/2,y+1/2,z'
'-x+1/2,-y+1/2,-z'
'-x+1/2,y+1/2,-z'
'x+1/2,-y+1/2,z'
loop_
_atom_site_label
_atom_site_type_symbol
_atom_site_fract_x
_atom_site_fract_y
_atom_site_fract_z
Tc1 Tc 0.0000 0.0000 0.0000
Te1 Te 0.2500 0.2500 0.5000
Pb1 Pb 0.0000 0.5000 0.0000



6.
# TcTePb | the Alexandria database | GGA-PBE | relaxed
# DOS at the Fermi energy   0.54 states/eV/atom
# ΔE_f (raw)   134 meV per atom
# Final energy   -5.604 eV per atom
data_TcTePb
_chemical_formula_sum 'Tc2 Te2 Pb2'
_symmetry_space_group_name_H-M 'I 4 m m'
_symmetry_Int_Tables_number 107
_symmetry_space_group_name_Hall 'I 4 -2'
_cell_length_a 3.2872
_cell_length_b 3.2872
_cell_length_c 13.4580
_cell_angle_alpha 90.00
_cell_angle_beta 90.00
_cell_angle_gamma 90.00
loop_
_atom_site_label
_atom_site_type_symbol
_atom_site_fract_x
_atom_site_fract_y
_atom_site_fract_z
Tc1 Tc 0.0000 0.0000 0.0000
Te1 Te 0.0000 0.0000 0.6037
Pb1 Pb 0.0000 0.0000 0.3468



Number 1: density 10.95 g cm⁻³, total magnetic moment 0.0000 μB/atom. Number 2: density 7.67 g cm⁻³, total magnetic moment 0.2235 μB/atom. Number 3: density 8.71 g cm⁻³, total magnetic moment 0.0686 μB/atom. Number 4: density 8.90 g cm⁻³, total magnetic moment 0.0000 μB/atom. Number 5: density 8.26 g cm⁻³, total magnetic moment 0.7261 μB/atom. Number 6: density 9.88 g cm⁻³, total magnetic moment 0.0000 μB/atom.